(1)
## Tb2GdHo (PBE)

Data for Tb2GdHo after structural relaxation.

a = 3.5580 Å, b = 3.5580 Å, c = 34.7956 Å
α = 90.00°, β = 90.00°, γ = 120.00°
Atoms (fractional coordinates):
Tb (0.0000, 0.0000, 0.2492)
Tb (0.0000, 0.0000, 0.7508)
Tb (0.3333, 0.6667, 0.4174)
Tb (0.3333, 0.6667, 0.9159)
Tb (0.6667, 0.3333, 0.0841)
Tb (0.6667, 0.3333, 0.5826)
Gd (0.0000, 0.0000, 0.0000)
Gd (0.3333, 0.6667, 0.6667)
Gd (0.6667, 0.3333, 0.3333)
Ho (0.0000, 0.0000, 0.5000)
Ho (0.3333, 0.6667, 0.1667)
Ho (0.6667, 0.3333, 0.8333)

Computed properties:
VASP energy in eV/atom: -6.960
SG: R-3m (166)
Energy relative to the lowest polymorph listed for this composition in eV/f.u.: 0.01
Magnetization in μB/f.u.: 7.260

---

(2)
## Tb2GdHo (PBE)

Data for Tb2GdHo after structural relaxation.

a = 8.0195 Å, b = 8.0195 Å, c = 8.0195 Å
α = 90.00°, β = 90.00°, γ = 90.00°
Atoms (fractional coordinates):
Tb (0.2500, 0.2500, 0.2500)
Tb (0.2500, 0.2500, 0.7500)
Tb (0.2500, 0.7500, 0.2500)
Tb (0.2500, 0.7500, 0.7500)
Tb (0.7500, 0.2500, 0.2500)
Tb (0.7500, 0.2500, 0.7500)
Tb (0.7500, 0.7500, 0.2500)
Tb (0.7500, 0.7500, 0.7500)
Gd (0.0000, 0.0000, 0.0000)
Gd (0.0000, 0.5000, 0.5000)
Gd (0.5000, 0.0000, 0.5000)
Gd (0.5000, 0.5000, 0.0000)
Ho (0.0000, 0.0000, 0.5000)
Ho (0.0000, 0.5000, 0.0000)
Ho (0.5000, 0.0000, 0.0000)
Ho (0.5000, 0.5000, 0.5000)

Computed properties:
VASP energy in eV/atom: -6.857
SG: Fm-3m (225)
Energy relative to the lowest polymorph listed for this composition in eV/f.u.: 0.42
Magnetization in μB/f.u.: 8.997

---

(3)
## TbGdHoTh (PBE)

Data for TbGdHoTh after structural relaxation.

a = 8.0216 Å, b = 8.0216 Å, c = 8.0216 Å
α = 90.00°, β = 90.00°, γ = 90.00°
Atoms (fractional coordinates):
Tb (0.0000, 0.0000, 0.0000)
Tb (0.0000, 0.5000, 0.5000)
Tb (0.5000, 0.0000, 0.5000)
Tb (0.5000, 0.5000, 0.0000)
Gd (0.2500, 0.2500, 0.2500)
Gd (0.2500, 0.7500, 0.7500)
Gd (0.7500, 0.2500, 0.7500)
Gd (0.7500, 0.7500, 0.2500)
Ho (0.2500, 0.2500, 0.7500)
Ho (0.2500, 0.7500, 0.2500)
Ho (0.7500, 0.2500, 0.2500)
Ho (0.7500, 0.7500, 0.7500)
Th (0.0000, 0.0000, 0.5000)
Th (0.0000, 0.5000, 0.0000)
Th (0.5000, 0.0000, 0.0000)
Th (0.5000, 0.5000, 0.5000)

Computed properties:
VASP energy in eV/atom: -7.523
SG: F-43m (216)
Magnetization in μB/f.u.: 8.247

---

(4)
## TbGdYHo (PBE)

Data for TbGdYHo after structural relaxation.

a = 8.0292 Å, b = 8.0292 Å, c = 8.0292 Å
α = 90.00°, β = 90.00°, γ = 90.00°
Atoms (fractional coordinates):
Tb (0.0000, 0.0000, 0.0000)
Tb (0.0000, 0.5000, 0.5000)
Tb (0.5000, 0.0000, 0.5000)
Tb (0.5000, 0.5000, 0.0000)
Gd (0.0000, 0.0000, 0.5000)
Gd (0.0000, 0.5000, 0.0000)
Gd (0.5000, 0.0000, 0.0000)
Gd (0.5000, 0.5000, 0.5000)
Y (0.2500, 0.2500, 0.7500)
Y (0.2500, 0.7500, 0.2500)
Y (0.7500, 0.2500, 0.2500)
Y (0.7500, 0.7500, 0.7500)
Ho (0.2500, 0.2500, 0.2500)
Ho (0.2500, 0.7500, 0.7500)
Ho (0.7500, 0.2500, 0.7500)
Ho (0.7500, 0.7500, 0.2500)

Computed properties:
VASP energy in eV/atom: -7.320
SG: F-43m (216)
Magnetization in μB/f.u.: 8.631

---

(5)
## TbGdHoZn (PBE)

Data for TbGdHoZn after structural relaxation.

a = 7.5521 Å, b = 7.5521 Å, c = 7.5521 Å
α = 90.00°, β = 90.00°, γ = 90.00°
Atoms (fractional coordinates):
Tb (0.0000, 0.0000, 0.0000)
Tb (0.0000, 0.5000, 0.5000)
Tb (0.5000, 0.0000, 0.5000)
Tb (0.5000, 0.5000, 0.0000)
Gd (0.0000, 0.0000, 0.5000)
Gd (0.0000, 0.5000, 0.0000)
Gd (0.5000, 0.0000, 0.0000)
Gd (0.5000, 0.5000, 0.5000)
Ho (0.2500, 0.2500, 0.2500)
Ho (0.2500, 0.7500, 0.7500)
Ho (0.7500, 0.2500, 0.7500)
Ho (0.7500, 0.7500, 0.2500)
Zn (0.2500, 0.2500, 0.7500)
Zn (0.2500, 0.7500, 0.2500)
Zn (0.7500, 0.2500, 0.2500)
Zn (0.7500, 0.7500, 0.7500)

Computed properties:
VASP energy in eV/atom: -6.108
SG: F-43m (216)
Magnetization in μB/f.u.: 7.661

---

(6)
## GdHoTc (PBE)

Data for GdHoTc after structural relaxation.

a = 3.4644 Å, b = 3.4644 Å, c = 12.5254 Å
α = 90.00°, β = 90.00°, γ = 90.00°
Atoms (fractional coordinates):
Gd (0.0000, 0.0000, 0.0000)
Gd (0.5000, 0.5000, 0.5000)
Ho (0.0000, 0.0000, 0.2605)
Ho (0.5000, 0.5000, 0.7605)
Tc (0.0000, 0.0000, 0.6320)
Tc (0.5000, 0.5000, 0.1320)

Computed properties:
VASP energy in eV/atom: -9.713
SG: I4mm (107)
Magnetization in μB/f.u.: 7.121

---

| no. | energy relative to the elements (eV per atom) |
| --- | --- |
| 1 | 0.02 |
| 2 | 0.12 |
| 3 | 0.15 |
| 4 | 0.12 |
| 5 | 0.03 |
| 6 | -0.04 |